## NiP2SeN (PBE)

Data for an optimized crystal structure of NiP2SeN.

As for the density of states at the Fermi level: 0.34 states/eV per atom. The value obtained for the energy relative to the elements, uncorrected is 6.14 kJ per mole of atoms. The calculation puts the energy above the most stable polymorph in this dataset at 2.69 kcal/mol of atoms.

The space group is Cm (No. 8) and the conventional cell measures 7.496, 3.459 and 6.519 Å, with angles of 90.00, 115.29 and 90.00 degrees. The asymmetric unit holds Ni at (0.000, 0.000, 0.000), P at (0.146, 0.500, 0.568), P at (0.478, 0.000, 0.787), Se at (0.403, 0.000, 0.189) and N at (0.234, 0.000, 0.590).

***

## NiP2SeN (PBE)

Data for an optimized crystal structure of NiP2SeN.

As for the density of states at the Fermi level: 0.47 states/eV per atom. The value obtained for the energy relative to the elements, uncorrected is -5.13 kJ per mole of atoms. The calculation puts the energy above the most stable polymorph in this dataset at 0.00 kcal/mol of atoms.

The space group is Cm (No. 8) and the conventional cell measures 7.817, 2.762 and 7.392 Å, with angles of 90.00, 100.33 and 90.00 degrees. The asymmetric unit holds Ni at (0.000, 0.000, 0.000), P at (0.118, 0.500, 0.553), P at (0.449, 0.000, 0.774), Se at (0.244, 0.500, 0.156) and N at (0.251, 0.000, 0.627).

***

## NiP2SeN (PBE)

Data for an optimized crystal structure of NiP2SeN.

As for the density of states at the Fermi level: 0.24 states/eV per atom. The value obtained for the energy relative to the elements, uncorrected is 3.91 kJ per mole of atoms. The calculation puts the energy above the most stable polymorph in this dataset at 2.16 kcal/mol of atoms.

The space group is P1 (No. 1) and the conventional cell measures 2.726, 3.526 and 8.820 Å, with angles of 89.36, 88.23 and 67.27 degrees. The asymmetric unit holds Ni at (0.000, 0.000, 0.000), P at (0.289, 0.394, 0.145), P at (0.490, 0.947, 0.355), Se at (0.297, 0.446, 0.821) and N at (0.947, 0.013, 0.455).

***

## NiP2SeN (PBE)

Data for an optimized crystal structure of NiP2SeN.

As for the density of states at the Fermi level: 0.35 states/eV per atom. The value obtained for the energy relative to the elements, uncorrected is 16.56 kJ per mole of atoms. The calculation puts the energy above the most stable polymorph in this dataset at 5.19 kcal/mol of atoms.

The space group is P1 (No. 1) and the conventional cell measures 3.709, 4.913 and 4.973 Å, with angles of 63.15, 84.66 and 76.04 degrees. The asymmetric unit holds Ni at (0.000, 0.000, 0.000), P at (0.075, 0.507, 0.322), P at (0.428, 0.109, 0.233), Se at (0.506, 0.798, 0.745) and N at (0.940, 0.386, 0.658).

***

## NiP2SeN (PBE)

Data for an optimized crystal structure of NiP2SeN.

As for the density of states at the Fermi level: 0.38 states/eV per atom. The value obtained for the energy relative to the elements, uncorrected is -1.37 kJ per mole of atoms. The calculation puts the energy above the most stable polymorph in this dataset at 0.90 kcal/mol of atoms.

The space group is Cm (No. 8) and the conventional cell measures 13.036, 2.787 and 4.835 Å, with angles of 90.00, 104.05 and 90.00 degrees. The asymmetric unit holds Ni at (0.000, 0.000, 0.000), P at (0.018, 0.500, 0.342), P at (0.156, 0.000, 0.845), Se at (0.384, 0.000, 0.638) and N at (0.133, 0.500, 0.606).

***

## NiP2SeN (PBE)

Data for an optimized crystal structure of NiP2SeN.

As for the density of states at the Fermi level: 0.28 states/eV per atom. The value obtained for the energy relative to the elements, uncorrected is 3.05 kJ per mole of atoms. The calculation puts the energy above the most stable polymorph in this dataset at 1.96 kcal/mol of atoms.

The space group is Cm (No. 8) and the conventional cell measures 7.928, 3.230 and 6.798 Å, with angles of 90.00, 113.29 and 90.00 degrees. The asymmetric unit holds Ni at (0.000, 0.000, 0.000), P at (0.008, 0.000, 0.463), P at (0.082, 0.500, 0.253), Se at (0.151, 0.500, 0.855) and N at (0.298, 0.500, 0.405).

***

| no. | E (eV per cell) |
| --- | --- |
| 1 | -56.2 |
| 2 | -57.4 |
| 3 | -28.2 |
| 4 | -27.6 |
| 5 | -57.0 |
| 6 | -56.5 |